A geometry-optimized PRu5 structure. Source: Alexandria, functional PBE.

Cell: 6.0986 6.0986 3.7243 Å, 90.00 90.00 143.57°
Closest atoms and distances in Å follow each position.
Element x y z (fractional)
P: 0.0000 0.0000 0.0000  12 Ru 2.67-2.78
Ru: 0.1652 0.8348 0.5000  10 Ru 2.63-2.74, 2 P 2.67
Ru: 0.3249 0.6751 0.0000  10 Ru 2.58-2.75, 2 P 2.78
Ru: 0.5000 0.5000 0.5000  4 P 2.67, 8 Ru 2.70-2.75
Ru: 0.6751 0.3249 0.0000  10 Ru 2.58-2.75, 2 P 2.78
Ru: 0.8348 0.1652 0.5000  10 Ru 2.63-2.74, 2 P 2.67

Relative energy among the computed polymorphs: 156.6 meV per atom
Total moment: 0.0 μB per cell

***

A geometry-optimized P2Ru structure. Source: Alexandria, functional PBE.

Cell: 4.7745 4.7745 4.7745 Å, 109.82 109.82 108.78°
Closest atoms and distances in Å follow each position.
Element x y z (fractional)
P: 0.1477 0.6477 0.7954  1 P 2.29, 4 Ru 2.52
P: 0.3523 0.1477 0.5000  1 P 2.29, 4 Ru 2.52
P: 0.6477 0.8523 0.5000  1 P 2.29, 4 Ru 2.52
P: 0.8523 0.3523 0.2046  1 P 2.29, 4 Ru 2.52
Ru: 0.2500 0.2500 0.0000  8 P 2.52, 2 Ru 2.78
Ru: 0.7500 0.7500 0.0000  8 P 2.52, 2 Ru 2.78

E: -6.8393 eV per atom
Total moment: 0.0 μB per cell